# 1
A relaxed KAlTeO6 crystal, computed with PBE.

Cell: 5.148 5.148 12.262 Å, 90.00 90.00 120.00°
Element x y z (fractional)
O1 0.629 0.997 0.836
O2 0.631 0.629 0.164
O3 0.003 0.371 0.664
O4 0.369 0.371 0.836
O5 0.371 0.369 0.336
O6 0.997 0.629 0.336
O7 0.371 0.003 0.164
O8 0.003 0.631 0.836
O9 0.997 0.369 0.164
O10 0.629 0.631 0.664
O11 0.631 0.003 0.336
O12 0.369 0.997 0.664
K1 0.000 0.000 0.500
K2 0.000 0.000 0.000
Al1 0.333 0.667 0.750
Al2 0.667 0.333 0.250
Te1 0.667 0.333 0.750
Te2 0.333 0.667 0.250

**Final energy**: -100.00 eV per cell
**Formation energy from raw total energies**: -1.363 eV/atom

# 2
A relaxed Tm4SbS2 crystal, computed with PBE.

Cell: 3.985 6.665 13.026 Å, 90.00 90.00 107.40°
Element x y z (fractional)
Tm1 0.236 0.473 0.883
Tm2 0.500 0.000 0.500
Tm3 0.931 0.862 0.750
Tm4 0.236 0.473 0.617
Tm5 0.069 0.138 0.250
Tm6 0.764 0.527 0.383
Tm7 0.500 0.000 0.000
Tm8 0.764 0.527 0.117
Sb1 0.608 0.217 0.750
Sb2 0.392 0.783 0.250
S1 0.867 0.735 0.942
S2 0.133 0.265 0.442
S3 0.867 0.735 0.558
S4 0.133 0.265 0.058

**Final energy**: -80.41 eV per cell
**Formation energy from raw total energies**: -1.420 eV/atom